[1]
Computed, not measured: a relaxed structure of CrSbPb2W at the GGA-PBE level of DFT.

```
data_CrSbPb2W
_chemical_formula_sum 'Cr1 Sb1 Pb2 W1'
_space_group_name_H-M_alt 'P 4/m m m'
_space_group_IT_number 123
_space_group_name_Hall '-P 4 2'
_cell_length_a 5.840
_cell_length_b 5.840
_cell_length_c 4.996
_cell_angle_alpha 90.00
_cell_angle_beta 90.00
_cell_angle_gamma 90.00
loop_
_atom_site_label
_atom_site_type_symbol
_atom_site_fract_x
_atom_site_fract_y
_atom_site_fract_z
Cr1 Cr 0.000 0.000 0.000
Sb1 Sb 0.000 0.000 0.500
Pb1 Pb 0.000 0.500 0.500
W1 W 0.500 0.500 0.000
```

Summary:
* N(E_F): 3.429 states/eV/cell
* crystal system: tetragonal
* uncorrected formation energy: 9.31 eV per formula unit
* theoretical density: 7.52 g/cm3

---

[2]
Computed, not measured: a relaxed structure of Zr2CrSbPb at the GGA-PBE level of DFT.

```
data_Zr2CrSbPb
_chemical_formula_sum 'Zr2 Cr1 Sb1 Pb1'
_space_group_name_H-M_alt 'P 4/m m m'
_space_group_IT_number 123
_space_group_name_Hall '-P 4 2'
_cell_length_a 5.387
_cell_length_b 5.387
_cell_length_c 5.562
_cell_angle_alpha 90.00
_cell_angle_beta 90.00
_cell_angle_gamma 90.00
loop_
_atom_site_label
_atom_site_type_symbol
_atom_site_fract_x
_atom_site_fract_y
_atom_site_fract_z
Zr1 Zr 0.000 0.500 0.000
Cr1 Cr 0.000 0.000 0.500
Sb1 Sb 0.500 0.500 0.500
Pb1 Pb 0.500 0.500 0.000
```

Summary:
* N(E_F): 7.768 states/eV/cell
* crystal system: tetragonal
* uncorrected formation energy: 9.48 eV per formula unit
* theoretical density: 5.80 g/cm3

---

[3]
Computed, not measured: a relaxed structure of ScCr2Pb at the GGA-PBE level of DFT.

```
data_ScCr2Pb
_chemical_formula_sum 'Sc1 Cr2 Pb1'
_space_group_name_H-M_alt 'P 1 2/m 1'
_space_group_IT_number 10
_cell_length_a 3.112
_cell_length_b 4.600
_cell_length_c 5.392
_cell_angle_alpha 90.00
_cell_angle_beta 95.41
_cell_angle_gamma 90.00
loop_
_space_group_symop_operation_xyz
'x,y,z'
'-x,-y,-z'
'-x,y,-z'
'x,-y,z'
loop_
_atom_site_label
_atom_site_type_symbol
_atom_site_fract_x
_atom_site_fract_y
_atom_site_fract_z
Sc1 Sc 0.000 0.000 0.000
Cr1 Cr 0.387 0.500 0.828
Pb1 Pb 0.500 0.000 0.500
```

Summary:
* N(E_F): 4.429 states/eV/cell
* crystal system: monoclinic
* theoretical density: 7.70 g/cm3
* energy of formation from the pure elements: 0.43 eV/atom

---

[4]
Computed, not measured: a relaxed structure of ScCrPb4 at the GGA-PBE level of DFT.

```
data_ScCrPb4
_chemical_formula_sum 'Sc4 Cr4 Pb16'
_space_group_name_H-M_alt 'F -4 3 m'
_space_group_IT_number 216
_space_group_name_Hall 'F -4 2 3'
_cell_length_a 8.964
_cell_length_b 8.964
_cell_length_c 8.964
_cell_angle_alpha 90.00
_cell_angle_beta 90.00
_cell_angle_gamma 90.00
loop_
_atom_site_label
_atom_site_type_symbol
_atom_site_fract_x
_atom_site_fract_y
_atom_site_fract_z
Sc1 Sc 0.000 0.000 0.000
Cr1 Cr 0.250 0.250 0.750
Pb1 Pb 0.126 0.126 0.374
```

Summary:
* N(E_F): 23.453 states/eV/cell
* crystal system: cubic
* theoretical density: 8.54 g/cm3
* energy of formation from the pure elements: 0.51 eV/atom

---

[5]
Computed, not measured: a relaxed structure of ScCr2Pb at the GGA-PBE level of DFT.

```
data_ScCr2Pb
_chemical_formula_sum 'Sc2 Cr4 Pb2'
_space_group_name_H-M_alt 'I -4 m 2'
_space_group_IT_number 119
_space_group_name_Hall 'I -4 -2'
_cell_length_a 4.485
_cell_length_b 4.485
_cell_length_c 7.619
_cell_angle_alpha 90.00
_cell_angle_beta 90.00
_cell_angle_gamma 90.00
loop_
_atom_site_label
_atom_site_type_symbol
_atom_site_fract_x
_atom_site_fract_y
_atom_site_fract_z
Sc1 Sc 0.000 0.000 0.000
Cr1 Cr 0.000 0.000 0.500
Cr2 Cr 0.000 0.500 0.750
Pb1 Pb 0.000 0.500 0.250
```

Summary:
* N(E_F): 3.239 states/eV/cell
* crystal system: tetragonal
* theoretical density: 7.72 g/cm3
* energy of formation from the pure elements: 0.25 eV/atom

---

[6]
Computed, not measured: a relaxed structure of Sc4CrPb at the GGA-PBE level of DFT.

```
data_Sc4CrPb
_chemical_formula_sum 'Sc16 Cr4 Pb4'
_space_group_name_H-M_alt 'F -4 3 m'
_space_group_IT_number 216
_space_group_name_Hall 'F -4 2 3'
_cell_length_a 8.296
_cell_length_b 8.296
_cell_length_c 8.296
_cell_angle_alpha 90.00
_cell_angle_beta 90.00
_cell_angle_gamma 90.00
loop_
_atom_site_label
_atom_site_type_symbol
_atom_site_fract_x
_atom_site_fract_y
_atom_site_fract_z
Sc1 Sc 0.124 0.124 0.124
Cr1 Cr 0.250 0.250 0.750
Pb1 Pb 0.000 0.000 0.500
```

Summary:
* N(E_F): 31.173 states/eV/cell
* crystal system: cubic
* theoretical density: 5.11 g/cm3
* energy of formation from the pure elements: 0.39 eV/atom